(1)
The following is a DFT calculation (PBE) of a geometry-optimized CaNd2Mg9 structure.

Its space group is R-3m, No. 166. The calculation puts the density of states at the Fermi level at 12.71 states/eV/f.u. The value obtained for the formation energy is -0.0604 eV per atom.

```
CaNd2Mg9
1.0
-4.328 0.204 4.333
-5.561 -2.319 -1.112
-0.277 -9.591 4.508
Ca Nd Mg
1 2 9
direct
0.000 0.000 0.000
0.854 0.854 0.438
0.146 0.146 0.562
0.666 0.666 0.003
0.334 0.334 0.997
0.500 0.500 0.500
0.414 0.414 0.253
0.919 0.414 0.253
0.414 0.919 0.253
0.586 0.586 0.747
0.586 0.081 0.747
0.081 0.586 0.747
```

(2)
The following is a DFT calculation (PBE) of a geometry-optimized LaGdNiPd structure.

Its space group is F-43m, No. 216. The calculation puts the density of states at the Fermi level at 4.00 states/eV/f.u. The value obtained for the formation energy is -0.5128 eV per atom.

```
LaGdNiPd
1.0
5.036 0.000 0.000
2.518 4.361 0.000
2.518 1.454 4.112
Ni Gd Pd La
1 1 1 1
direct
0.250 0.250 0.250
0.000 0.000 0.000
0.750 0.750 0.750
0.500 0.500 0.500
```